Ba2GeAuO: relaxed, GGA-PBE.

abc: 5.557 4.381 5.557
angles: 90.00 90.00 90.00
Positions (direct):
Ba1 0.000 0.000 0.500
Ba2 0.500 0.000 0.000
O1 0.000 0.000 0.000
Ge1 0.000 0.500 0.000
Au1 0.500 0.500 0.500

Computed properties:
The value obtained for the total energy is -4.396 eV/atom. The calculation puts the volume at 27.06 Å³ per atom. The value obtained for the spin magnetization is 0.000 μB per atom. Its energy relative to the elements, uncorrected is -1.0560 eV per atom.